An optimized crystal structure of BaSrV4Cu4O16, computed with PBE+U.

Computed properties:
Magnetic moment ... 7.9 μB/cell
Calculated total energy ... -345.3 eV for the cell shown
Space group ... No. 122

Lattice parameters (Å, degrees): 8.1363 10.0943 10.0943 80.65 66.23 66.23
Sites, in units of the cell vectors:
Cu: 0.8481 0.4827 0.8351
Cu: 0.3168 0.8351 0.5173
Cu: 0.5840 0.3351 0.9827
Cu: 0.6691 0.1649 0.4827
Cu: 0.4332 0.9827 0.6649
Cu: 0.1660 0.5173 0.1649
Cu: 0.9019 0.6649 0.0173
Cu: 0.0809 0.0173 0.3351
O: 0.9708 0.3262 0.6364
O: 0.3612 0.5572 0.1946
O: 0.4535 0.6849 0.3670
O: 0.8616 0.6330 0.6849
O: 0.2965 0.1330 0.8151
O: 0.0470 0.1738 0.1364
O: 0.8166 0.1364 0.8262
O: 0.5870 0.5099 0.8598
O: 0.9568 0.4901 0.1402
O: 0.5532 0.8598 0.4901
O: 0.1968 0.0099 0.6402
O: 0.3572 0.8262 0.8636
O: 0.5053 0.3151 0.6330
O: 0.2447 0.8670 0.1849
O: 0.7932 0.3598 0.0099
O: 0.0816 0.8054 0.5572
O: 0.1630 0.6402 0.9901
O: 0.1796 0.3670 0.3151
O: 0.9030 0.1402 0.5099
O: 0.7792 0.8636 0.1738
O: 0.6371 0.6946 0.0572
O: 0.7030 0.3636 0.3262
O: 0.3057 0.0572 0.3054
O: 0.3888 0.3054 0.9428
O: 0.8470 0.9901 0.3598
O: 0.6684 0.9428 0.6946
O: 0.5704 0.1849 0.1330
O: 0.3928 0.6364 0.6738
O: 0.1129 0.4428 0.8054
O: 0.8884 0.8151 0.8670
O: 0.4443 0.1946 0.4428
O: 0.9334 0.6738 0.3636
Ba: 0.5000 0.0000 0.0000
Ba: 0.2500 0.5000 0.5000
V: 0.3750 0.6544 0.8456
V: 0.3750 0.2011 0.2989
V: 0.9706 0.1544 0.6544
V: 0.4239 0.7011 0.2011
V: 0.3261 0.2989 0.7989
V: 0.7794 0.8456 0.3456
V: 0.8750 0.7989 0.7011
V: 0.8750 0.3456 0.1544
Sr: 0.7500 0.5000 0.5000
Sr: 0.0000 0.0000 0.0000